Record 1
## PrSmDy (GGA-PBE)

Data for a relaxed structure of PrSmDy.

Lattice parameters (Å, degrees): 7.8311 7.8311 7.8311 90.00 90.00 90.00
Closest atoms and distances in Å follow each position.
Fractional coordinates of all 12 atoms:
1 Pr 0.0000 0.0000 0.0000  4 Sm 3.39
2 Pr 0.0000 0.5000 0.5000  4 Sm 3.39
3 Pr 0.5000 0.0000 0.5000  4 Sm 3.39
4 Pr 0.5000 0.5000 0.0000  4 Sm 3.39
5 Sm 0.2500 0.2500 0.7500  4 Dy 3.39, 4 Pr 3.39
6 Sm 0.2500 0.7500 0.2500  4 Dy 3.39, 4 Pr 3.39
7 Sm 0.7500 0.2500 0.2500  4 Dy 3.39, 4 Pr 3.39
8 Sm 0.7500 0.7500 0.7500  4 Dy 3.39, 4 Pr 3.39
9 Dy 0.0000 0.0000 0.5000  4 Sm 3.39
10 Dy 0.0000 0.5000 0.0000  4 Sm 3.39
11 Dy 0.5000 0.0000 0.0000  4 Sm 3.39
12 Dy 0.5000 0.5000 0.5000  4 Sm 3.39

Its distance to the lowest polymorph of the same formula is 0.00 eV per formula unit. The value obtained for the total energy is -3.9770 eV per atom. The total magnetic moment is 0.01 μB/cell. As for the formation enthalpy at 0 K: 2.16 eV per formula unit.

Record 2
## TbTlZnSe3 (GGA-PBE)

Data for a relaxed structure of TbTlZnSe3.

Lattice parameters (Å, degrees): 8.3842 4.1279 10.6140 90.00 109.00 90.00
Closest atoms and distances in Å follow each position.
Fractional coordinates of all 12 atoms:
1 Tb 0.1908 0.2500 0.1386  6 Se 2.83-3.04
2 Tb 0.8092 0.7500 0.8614  6 Se 2.83-3.04
3 Tl 0.2322 0.7500 0.7119  4 Se 3.25-3.36
4 Tl 0.7678 0.2500 0.2881  4 Se 3.25-3.36
5 Zn 0.4239 0.7500 0.3911  4 Se 2.45-2.56
6 Zn 0.5761 0.2500 0.6089  4 Se 2.45-2.56
7 Se 0.0483 0.2500 0.8574  3 Tb 2.83-2.89
8 Se 0.2773 0.2500 0.4396  3 Zn 2.54-2.56
9 Se 0.4383 0.7500 0.1638  1 Zn 2.45
10 Se 0.5617 0.2500 0.8362  1 Zn 2.45
11 Se 0.7227 0.7500 0.5604  3 Zn 2.54-2.56
12 Se 0.9517 0.7500 0.1426  3 Tb 2.83-2.89

Its distance to the lowest polymorph of the same formula is 0.12 eV per formula unit. The value obtained for the total energy is -4.2377 eV per atom. The total magnetic moment is 0.00 μB/cell.